A plane-wave DFT calculation with PBE was carried out for CeMgCdBi after structural relaxation.

M_tot in μB/atom: 0.2335
E in eV per atom: -3.462
Offset from the most stable computed form in kJ/mol of formula units: 0
ΔE_f in eV per atom: -0.381

abc: 4.455 4.702 5.152
angles: 90.00 90.00 90.00
Space group Pmmm (No. 47)
Asymmetric unit:
Ce: 0.000 0.000 0.000
Mg: 0.000 0.500 0.500
Cd: 0.500 0.000 0.500
Bi: 0.500 0.500 0.000